Entry 1:
Entry from Alexandria: a relaxed Sm4HoAu2 crystal (PBE).

Computed properties:
Space-group type: R-3m, No. 166
Uncorrected energy in eV/atom: -4.52
E_form in eV/atom: -0.23

Cell lengths 5.3865, 5.3865, 9.1910 Å; angles 72.96, 72.96, 60.00 degrees
Last column: nearest neighbours and their distance in Å.
Element x y z (fractional)
Au 0.6065 0.6065 0.1806  1 Ho 2.76, 1 Sm 2.91
Sm 0.8761 0.8761 0.3717  3 Ho 3.30, 3 Au 3.52, 3 Sm 3.63
Sm 0.1239 0.1239 0.6283  3 Ho 3.30, 3 Au 3.52, 3 Sm 3.63
Sm 0.7186 0.7186 0.8442  4 Au 2.91-3.12
Ho 0.5000 0.5000 0.5000  2 Au 2.76
Sm 0.2814 0.2814 0.1558  4 Au 2.91-3.12
Au 0.3935 0.3935 0.8194  1 Ho 2.76, 1 Sm 2.91

***

Entry 2:
Entry from Alexandria: a relaxed BaLiRuN2 crystal (PBE).

Computed properties:
Space-group type: C2/m, No. 12
Uncorrected energy in eV/atom: -6.13
Energy relative to the elements, uncorrected in eV/atom: -0.18

Cell lengths 3.5597, 5.9280, 7.7704 Å; angles 103.27, 90.00, 107.47 degrees
Last column: nearest neighbours and their distance in Å.
Element x y z (fractional)
N 0.1304 0.2608 0.9070  1 Ru 1.91, 3 Li 2.06-2.13
Li 0.6756 0.3513 0.0409  4 N 2.06-2.13
N 0.6034 0.2068 0.2650  2 Ru 1.97, 1 Li 2.09
Ba 0.6467 0.2934 0.6442  4 N 2.75-3.08, 1 Li 3.02
Ru 0.9569 0.9137 0.8248  3 N 1.91-1.97
Ru 0.0431 0.0863 0.1752  3 N 1.91-1.97
N 0.3966 0.7932 0.7350  2 Ru 1.97, 1 Li 2.09
Ba 0.3533 0.7066 0.3558  4 N 2.75-3.08, 1 Li 3.02
N 0.8696 0.7392 0.0930  1 Ru 1.91, 3 Li 2.06-2.13
Li 0.3244 0.6487 0.9591  4 N 2.06-2.13